# 1
VASP calculation (PBE) on an optimized crystal structure of HgGeP2O.

Values from the calculation:
- magnetic moment (μB per cell) = 0.00
- density (g/cm3) = 6.58
- density of states at the Fermi level (states/eV/atom) = 0.391
- symmetry = P4/mmm
- formation energy from raw total energies (kJ/mol of atoms) = 28

POSCAR file:
```
HgGeP2O
1.0
4.977 0.000 0.000
0.000 4.977 0.000
0.000 0.000 3.576
P Ge Hg O
2 1 1 1
Direct
0.000 0.500 0.000 P
0.500 0.000 0.000 P
0.000 0.000 0.000 Ge
0.500 0.500 0.500 Hg
0.000 0.000 0.500 O
```

# 2
VASP calculation (PBE) on an optimized crystal structure of DyLuScIn.

Values from the calculation:
- magnetic moment (μB per cell) = 0.47
- density (g/cm3) = 7.84
- density of states at the Fermi level (states/eV/atom) = 1.488
- energy of formation (eV/atom) = -0.142
- symmetry = F-43m

POSCAR file:
```
DyLuScIn
1.0
-3.892 3.219 -1.611
-4.637 -2.030 -1.577
-4.328 0.634 2.997
Sc Lu In Dy
1 1 1 1
Direct
0.000 0.000 0.000 Sc
0.250 0.250 0.250 Lu
0.500 0.500 0.500 In
0.750 0.750 0.750 Dy
```

# 3
VASP calculation (PBE) on an optimized crystal structure of SbPbIN2.

Values from the calculation:
- magnetic moment (μB per cell) = 0.00
- density (g/cm3) = 6.83
- density of states at the Fermi level (states/eV/atom) = 0.467
- symmetry = P4/mmm
- formation energy from raw total energies (kJ/mol of atoms) = 119

POSCAR file:
```
SbPbIN2
1.0
4.354 0.000 0.000
0.000 4.354 0.000
0.000 0.000 6.201
Pb I N Sb
1 1 2 1
Direct
0.500 0.500 0.500 Pb
0.000 0.000 0.500 I
0.000 0.500 0.000 N
0.500 0.000 0.000 N
0.000 0.000 0.000 Sb
```

> What is the formula in the first record?

HgGeP2O